No. 1
A relaxed NdScPb2 crystal, computed with PBE.

```
16
Lattice="-2.069 3.450 2.790 -7.883 -2.221 -3.102 -1.156 -7.291 8.158" Properties=species:S:1:pos:R:3 pbc="T T T"
Nd -2.591 1.111 3.146
Nd -8.517 -7.174 4.700
Nd -6.718 -1.168 2.903
Nd -4.390 -4.894 4.943
Sc -5.164 -0.947 -0.512
Sc -1.634 -2.435 3.946
Sc -5.944 -5.115 8.358
Sc -9.474 -3.628 3.901
Pb -4.209 -1.522 5.202
Pb -6.899 -4.540 2.644
Pb -7.613 0.758 -0.142
Pb -3.495 -6.820 7.988
Pb -3.636 -3.324 7.856
Pb -3.564 -1.838 1.776
Pb -7.544 -4.224 6.070
Pb -7.472 -2.738 -0.010
```

Mass density ... 8.50 g/cm³
Space group ... Pnma (62)
Total energy ... -4.9995 eV/atom

---

No. 2
A relaxed Nd3ScPb3 crystal, computed with PBE.

```
14
Lattice="-5.797 2.765 -2.282 -1.335 -1.746 6.452 3.175 8.723 2.882" Properties=species:S:1:pos:R:3 pbc="T T T"
Nd -3.192 3.248 3.308
Nd -0.567 3.444 6.288
Nd -3.389 6.297 0.765
Nd -2.374 -0.696 4.418
Nd -4.758 1.714 -0.248
Nd -0.764 6.493 3.744
Sc -1.987 9.120 5.726
Sc -1.969 0.621 1.327
Pb -6.143 2.958 4.667
Pb -3.807 8.135 3.406
Pb -1.973 6.282 6.994
Pb -0.150 1.606 3.647
Pb -1.983 3.459 0.059
Pb 2.187 6.783 2.386
```

Mass density ... 8.36 g/cm³
Space group ... C2/m (12)
Total energy ... -4.9021 eV/atom

---

No. 3
A relaxed NdScPb2 crystal, computed with PBE.

```
4
Lattice="4.665 0.000 0.000 2.332 4.040 0.000 2.332 1.347 6.763" Properties=species:S:1:pos:R:3 pbc="T T T"
Nd 6.997 4.040 6.677
Sc 4.665 2.693 3.495
Pb 2.332 1.347 4.910
Pb 2.332 1.347 1.824
```

Mass density ... 7.86 g/cm³
Space group ... R3m (160)
Total energy ... -4.9299 eV/atom

---

No. 4
A relaxed Nd6ScPb10 crystal, computed with PBE.

```
17
Lattice="-3.124 -5.735 0.429 8.308 -4.408 1.570 -5.095 3.325 7.342" Properties=species:S:1:pos:R:3 pbc="T T T"
Nd -1.058 -4.671 3.800
Nd -5.418 -2.222 4.791
Nd 2.748 -6.933 1.274
Nd 1.147 -2.148 5.541
Nd -2.801 -0.189 2.980
Nd 2.436 -3.210 0.725
Sc -1.562 -2.868 0.215
Pb -0.050 -5.361 7.065
Pb -3.725 -3.727 2.141
Pb -0.436 -5.625 0.725
Pb 0.139 -1.458 2.276
Pb -4.494 1.317 5.630
Pb 5.620 -4.519 1.274
Pb -2.189 -2.121 5.633
Pb 2.278 -4.698 3.708
Pb 3.840 -1.830 3.494
Pb -0.627 0.747 5.418
```

Mass density ... 9.61 g/cm³
Space group ... P-31m (162)
Total energy ... -4.6439 eV/atom